Entry from Alexandria: a geometry-optimized FeSiTe2N structure (PBE-GGA).

Summary:
**ΔE_f (raw)**: 523 meV/atom
**Excess energy over the best structure of this formula in the dataset**: 11.6 kJ/mol of atoms
**Fermi-level density of states**: 5.4 states/eV per cell

```
data_FeSiTe2N
_cell_length_a 5.616
_cell_length_b 5.616
_cell_length_c 3.235
_cell_angle_alpha 90.00
_cell_angle_beta 90.00
_cell_angle_gamma 90.00
_space_group_name_H-M_alt 'P 4/m m m'
_space_group_IT_number 123
_space_group_name_Hall '-P 4 2'
loop_
_atom_site_label
_atom_site_type_symbol
_atom_site_fract_x
_atom_site_fract_y
_atom_site_fract_z
Fe1 Fe 0.000 0.000 0.000
Si1 Si 0.500 0.500 0.500
Te1 Te 0.000 0.500 0.500
N1 N 0.500 0.500 0.000
```